Below is Hg2Ir2W after structural relaxation, with properties calculated at the PBE level.

## Properties
E_tot = -4.99 eV/atom
ΔE to the lowest computed polymorph = 0.2670 eV/atom
Formation energy from the elements = 1.268 eV/atom
Theoretical density = 16.07 g/cm³
SG = No. 139

Geometry as POSCAR:
```
Hg2Ir2W
1.0
3.515 0.000 0.000
0.000 3.515 0.000
1.757 1.757 8.109
Hg W Ir
2 1 2
direct
0.397 0.397 0.206
0.603 0.603 0.794
0.000 0.000 0.000
0.750 0.250 0.500
0.250 0.750 0.500
```